Compound: AlZnP
Source: the Alexandria database
Functional: PBE
Structure: relaxed

Cell: 4.4818 4.4818 2.7734 Å, 90.00 90.00 120.00°
Fractional positions:
P 0.3333 0.6667 0.3315
Zn 0.6667 0.3333 0.5267
Al 0.0000 0.0000 0.1418

Output
calculated density	4.25	g/cm3
magnetization	0.0	Bohr magnetons per cell
distance to the lowest polymorph of the same formula	144	meV/atom
energy of formation from the pure elements	0.206	eV per atom
space group	P3m1 (156)

=====

Compound: AlZn2P
Source: the Alexandria database
Functional: PBE
Structure: relaxed

Cell: 4.5291 4.5291 4.5291 Å, 60.00 60.00 60.00°
Fractional positions:
P 0.2500 0.2500 0.2500
Zn 0.0000 0.0000 0.0000
Zn 0.7500 0.7500 0.7500
Al 0.5000 0.5000 0.5000

Output
calculated density	4.77	g/cm3
magnetization	0.0	Bohr magnetons per cell
distance to the lowest polymorph of the same formula	204	meV/atom
energy of formation from the pure elements	0.248	eV per atom
space group	F-43m (216)

=====

Compound: AlZn2P
Source: the Alexandria database
Functional: PBE
Structure: relaxed

Cell: 3.4763 3.4763 5.4736 Å, 90.00 90.00 90.00°
Fractional positions:
P 0.5000 0.5000 0.6711
Zn 0.0000 0.0000 0.0521
Zn 0.5000 0.5000 0.2170
Al 0.0000 0.0000 0.5598

Output
calculated density	4.74	g/cm3
magnetization	0.0	Bohr magnetons per cell
distance to the lowest polymorph of the same formula	32	meV/atom
energy of formation from the pure elements	0.076	eV per atom
space group	P4mm (99)

=====

Compound: AlZn2P
Source: the Alexandria database
Functional: PBE
Structure: relaxed

Cell: 5.0346 2.6536 5.5461 Å, 62.84 90.00 90.00°
Fractional positions:
P 0.5000 0.7497 0.6254
Zn 0.0000 0.7502 0.1247
Zn 0.5000 0.2496 0.1254
Al 0.0000 0.7505 0.6246

Output
calculated density	4.75	g/cm3
magnetization	0.0	Bohr magnetons per cell
distance to the lowest polymorph of the same formula	42	meV/atom
energy of formation from the pure elements	0.086	eV per atom
space group	P2/m (10)

=====

Compound: AlZn3P
Source: the Alexandria database
Functional: PBE
Structure: relaxed

Cell: 4.7828 4.7828 4.7828 Å, 90.00 90.00 90.00°
Fractional positions:
P 0.5000 0.5000 0.5000
Zn 0.0000 0.5000 0.0000
Zn 0.0000 0.0000 0.5000
Zn 0.5000 0.0000 0.0000
Al 0.0000 0.0000 0.0000

Output
calculated density	3.86	g/cm3
magnetization	0.0	Bohr magnetons per cell
distance to the lowest polymorph of the same formula	351	meV/atom
energy of formation from the pure elements	0.800	eV per atom
space group	Pm-3m (221)

=====

Compound: AlZn3P
Source: the Alexandria database
Functional: PBE
Structure: relaxed

Cell: 4.6990 4.6990 4.6990 Å, 90.00 90.00 90.00°
Fractional positions:
P 0.0000 0.0000 0.0000
Zn 0.0000 0.5000 0.0000
Zn 0.0000 0.0000 0.5000
Zn 0.5000 0.0000 0.0000
Al 0.5000 0.5000 0.5000

Output
calculated density	4.07	g/cm3
magnetization	0.0	Bohr magnetons per cell
distance to the lowest polymorph of the same formula	0	meV/atom
energy of formation from the pure elements	0.449	eV per atom
space group	Pm-3m (221)

=====

Compound: AlZn2P
Source: the Alexandria database
Functional: PBE
Structure: relaxed

Cell: 5.0578 5.0578 2.8124 Å, 90.00 90.00 118.26°
Fractional positions:
P 0.0000 0.5000 0.5000
Zn 0.0000 0.0000 0.0000
Zn 0.5000 0.5000 0.0000
Al 0.5000 0.0000 0.5000

Output
calculated density	4.95	g/cm3
magnetization	0.0	Bohr magnetons per cell
distance to the lowest polymorph of the same formula	130	meV/atom
energy of formation from the pure elements	0.173	eV per atom
space group	Cmmm (65)

=====

Compound: Al2Zn2P
Source: the Alexandria database
Functional: PBE
Structure: relaxed

Cell: 6.5433 6.5433 6.5433 Å, 145.83 145.83 49.09°
Fractional positions:
Al 0.2500 0.7500 0.5000
Al 0.7500 0.2500 0.5000
Zn 0.5992 0.5992 0.0000
Zn 0.4008 0.4008 0.0000
P 0.0000 0.0000 0.0000

Output
calculated density	4.07	g/cm3
magnetization	0.0	Bohr magnetons per cell
distance to the lowest polymorph of the same formula	169	meV/atom
energy of formation from the pure elements	0.335	eV per atom
space group	I4/mmm (139)

=====

Compound: AlZn2P
Source: the Alexandria database
Functional: PBE
Structure: relaxed

Cell: 3.6178 3.6168 4.9766 Å, 90.00 90.00 90.00°
Fractional positions:
P 0.0000 0.5000 0.5000
Zn 0.0000 0.0000 0.0000
Zn 0.5000 0.5000 0.0000
Al 0.5000 0.0000 0.5000

Output
calculated density	4.81	g/cm3
magnetization	0.0	Bohr magnetons per cell
distance to the lowest polymorph of the same formula	75	meV/atom
energy of formation from the pure elements	0.119	eV per atom
space group	P4/mmm (123)

=====

Compound: AlZn2P
Source: the Alexandria database
Functional: PBE
Structure: relaxed

Cell: 4.5439 4.5439 4.5439 Å, 60.00 60.00 60.00°
Fractional positions:
P 0.5000 0.5000 0.5000
Zn 0.2500 0.2500 0.2500
Zn 0.7500 0.7500 0.7500
Al 0.0000 0.0000 0.0000

Output
calculated density	4.73	g/cm3
magnetization	0.0	Bohr magnetons per cell
distance to the lowest polymorph of the same formula	267	meV/atom
energy of formation from the pure elements	0.310	eV per atom
space group	Fm-3m (225)

=====

Compound: AlZnP
Source: the Alexandria database
Functional: PBE
Structure: relaxed

Cell: 5.1843 5.1843 6.2523 Å, 90.00 90.00 142.96°
Fractional positions:
Al 0.3732 0.6268 0.2500
Al 0.6268 0.3732 0.7500
Zn 0.3448 0.6552 0.7500
Zn 0.6552 0.3448 0.2500
P 0.0000 0.0000 0.0000
P 0.0000 0.0000 0.5000

Output
calculated density	4.05	g/cm3
magnetization	0.0	Bohr magnetons per cell
distance to the lowest polymorph of the same formula	68	meV/atom
energy of formation from the pure elements	0.130	eV per atom
space group	Cmcm (63)

=====

Compound: AlZnP
Source: the Alexandria database
Functional: PBE
Structure: relaxed

Cell: 4.4988 4.4988 5.5572 Å, 90.00 90.00 120.00°
Fractional positions:
Al 0.3333 0.6667 0.2500
Al 0.6667 0.3333 0.7500
Zn 0.3333 0.6667 0.7500
Zn 0.6667 0.3333 0.2500
P 0.0000 0.0000 0.0000
P 0.0000 0.0000 0.5000

Output
calculated density	4.21	g/cm3
magnetization	0.0	Bohr magnetons per cell
distance to the lowest polymorph of the same formula	298	meV/atom
energy of formation from the pure elements	0.359	eV per atom
space group	P6_3/mmc (194)